Entry 1:
Crystalline MgBeCu2 at its relaxed geometry, computed with PBE.

Cell lengths 6.4907, 4.0460, 3.0834 Å; angles 90.00, 61.63, 128.39 degrees
Closest atoms and distances in Å follow each position.
Element x y z (fractional)
Be (0.5000, 0.5000, 0.0000)  8 Cu 2.54
Mg (0.0000, 0.5000, 0.5000)  8 Cu 2.54
Cu (0.0000, 0.0000, 0.0000)  4 Mg 2.54, 4 Be 2.54
Cu (0.5000, 0.0000, 0.5000)  4 Be 2.54, 4 Mg 2.54

Summary:
* energy above the most stable polymorph in this dataset: 0.123 eV per atom
* crystal system: orthorhombic



Entry 2:
Crystalline MgBeCu2 at its relaxed geometry, computed with PBE.

Cell lengths 3.6321, 3.6321, 8.9487 Å; angles 78.29, 78.29, 90.00 degrees
Closest atoms and distances in Å follow each position.
Element x y z (fractional)
Be (0.5000, 0.5000, 0.0000)  4 Cu 2.46, 4 Mg 2.57
Be (0.2500, 0.7500, 0.5000)  4 Cu 2.46, 4 Mg 2.57
Mg (0.0000, 0.0000, 0.0000)  4 Cu 2.55, 4 Be 2.57
Mg (0.7500, 0.2500, 0.5000)  4 Cu 2.55, 4 Be 2.57
Cu (0.5910, 0.1250, 0.2500)  2 Cu 2.40, 2 Be 2.46, 2 Mg 2.55
Cu (0.1590, 0.6250, 0.2500)  2 Cu 2.40, 2 Be 2.46, 2 Mg 2.55
Cu (0.3750, 0.4090, 0.7500)  2 Cu 2.40, 2 Be 2.46, 2 Mg 2.55
Cu (0.8750, 0.8410, 0.7500)  2 Cu 2.40, 2 Be 2.46, 2 Mg 2.55

Summary:
* energy above the most stable polymorph in this dataset: 0.452 eV per atom
* crystal system: tetragonal



Entry 3:
Crystalline MgBeCu2 at its relaxed geometry, computed with PBE.

Cell lengths 4.1511, 4.1511, 4.1511 Å; angles 60.00, 60.00, 60.00 degrees
Closest atoms and distances in Å follow each position.
Element x y z (fractional)
Be (0.5000, 0.5000, 0.5000)  4 Mg 2.54, 4 Cu 2.54
Mg (0.7500, 0.7500, 0.7500)  4 Cu 2.54, 4 Be 2.54
Cu (0.0000, 0.0000, 0.0000)  4 Cu 2.54, 4 Mg 2.54
Cu (0.2500, 0.2500, 0.2500)  4 Be 2.54, 4 Cu 2.54

Summary:
* energy above the most stable polymorph in this dataset: 0.149 eV per atom
* crystal system: cubic



Entry 4:
Crystalline MgBe2Cu at its relaxed geometry, computed with PBE.

Cell lengths 2.8173, 2.8162, 6.0485 Å; angles 90.00, 90.00, 90.00 degrees
Closest atoms and distances in Å follow each position.
Element x y z (fractional)
Be (0.0000, 0.0000, 0.0547)  4 Cu 2.32, 1 Be 2.36
Be (0.0000, 0.0000, 0.4453)  4 Cu 2.32, 1 Be 2.36
Mg (0.5000, 0.5000, 0.7500)  8 Be 2.71, 4 Mg 2.82, 2 Cu 3.02
Cu (0.5000, 0.5000, 0.2500)  8 Be 2.32

Summary:
* crystal system: tetragonal
* E: -12.7 eV for the cell shown



Entry 5:
Crystalline MgBeCu at its relaxed geometry, computed with PBE.

Cell lengths 4.0468, 4.0468, 2.8657 Å; angles 90.00, 90.00, 120.00 degrees
Closest atoms and distances in Å follow each position.
Element x y z (fractional)
Be (0.0000, 0.0000, 0.1669)  3 Cu 2.34
Mg (0.3333, 0.6667, 0.6666)  6 Be 2.74, 6 Cu 2.74, 2 Mg 2.87
Cu (0.6667, 0.3333, 0.1665)  3 Be 2.34

Summary:
* energy above the most stable polymorph in this dataset: 0.198 eV per atom
* crystal system: hexagonal



Entry 6:
Crystalline MgBe2Cu at its relaxed geometry, computed with PBE.

Cell lengths 3.9897, 3.9897, 8.2481 Å; angles 76.00, 76.00, 90.00 degrees
Closest atoms and distances in Å follow each position.
Element x y z (fractional)
Be (0.8749, 0.1250, 0.2500)  2 Be 1.99, 2 Cu 2.18
Be (0.8751, 0.6250, 0.2500)  2 Be 1.99, 2 Cu 2.18
Be (0.3750, 0.1251, 0.7500)  2 Be 1.99, 2 Cu 2.18
Be (0.8750, 0.1249, 0.7500)  2 Be 1.99, 2 Cu 2.18
Mg (0.5000, 0.5000, 0.0000)  4 Cu 2.82, 8 Be 2.95
Mg (0.2500, 0.7500, 0.5000)  4 Cu 2.82, 8 Be 2.95
Cu (0.0000, 0.0000, 0.0000)  4 Be 2.18
Cu (0.7500, 0.2500, 0.5000)  4 Be 2.18

Summary:
* crystal system: tetragonal
* E: -23.0 eV for the cell shown



So what do the calculations give for DOS at the Fermi energy? Going down the list: 1.0 3.1 2.1 0.9 1.5 3.6 states/eV/cell.